# TbCe2Zn, optimized geometry, DFT PBE-GGA
# - DFT formation energy: -0.012 eV/atom
# - Theoretical density: 8.315 g cm⁻³
# - E above lowest polymorph: 0.00 eV/f.u.
# - DOS at the Fermi energy: 10.07 states/eV/cell
data_TbCe2Zn
_symmetry_space_group_name_H-M 'P 4/m m m'
_symmetry_Int_Tables_number 123
_symmetry_space_group_name_Hall '-P 4 2'
_cell_length_a 4.446
_cell_length_b 4.446
_cell_length_c 5.098
_cell_angle_alpha 90.00
_cell_angle_beta 90.00
_cell_angle_gamma 90.00
loop_
_atom_site_label
_atom_site_fract_x
_atom_site_fract_y
_atom_site_fract_z
_atom_site_occupancy
Tb1 0.000 0.000 0.000 1
Ce1 0.000 0.500 0.500 1
Zn1 0.500 0.500 0.000 1

# PmHo2Al, optimized geometry, DFT PBE-GGA
# - DFT formation energy: -0.002 eV/atom
# - Theoretical density: 7.600 g cm⁻³
# - E above lowest polymorph: 0.78 eV/f.u.
# - DOS at the Fermi energy: 24.42 states/eV/cell
data_PmHo2Al
_symmetry_space_group_name_H-M 'F m -3 m'
_symmetry_Int_Tables_number 225
_symmetry_space_group_name_Hall '-F 4 2 3'
_cell_length_a 7.598
_cell_length_b 7.598
_cell_length_c 7.598
_cell_angle_alpha 90.00
_cell_angle_beta 90.00
_cell_angle_gamma 90.00
loop_
_atom_site_label
_atom_site_fract_x
_atom_site_fract_y
_atom_site_fract_z
_atom_site_occupancy
Pm1 0.000 0.000 0.000 1
Ho1 0.250 0.250 0.250 1
Al1 0.000 0.000 0.500 1

# RbPtRh2O, optimized geometry, DFT PBE-GGA
# - Theoretical density: 5.454 g cm⁻³
# - Energy relative to the elements, uncorrected: 1.303 eV/atom
# - DOS at the Fermi energy: 20.79 states/eV/cell
data_RbPtRh2O
_symmetry_space_group_name_H-M 'P 4/m m m'
_symmetry_Int_Tables_number 123
_symmetry_space_group_name_Hall '-P 4 2'
_cell_length_a 4.743
_cell_length_b 4.743
_cell_length_c 6.798
_cell_angle_alpha 90.00
_cell_angle_beta 90.00
_cell_angle_gamma 90.00
loop_
_atom_site_label
_atom_site_fract_x
_atom_site_fract_y
_atom_site_fract_z
_atom_site_occupancy
Rb1 0.000 0.000 0.000 1
Pt1 0.000 0.000 0.500 1
Rh1 0.000 0.500 0.500 1
O1 0.500 0.500 0.000 1

# RbLi2Zn2, optimized geometry, DFT PBE-GGA
# - DFT formation energy: 0.117 eV/atom
# - Theoretical density: 3.208 g cm⁻³
# - E above lowest polymorph: 0.12 eV/f.u.
# - DOS at the Fermi energy: 3.17 states/eV/cell
data_RbLi2Zn2
_symmetry_space_group_name_H-M 'P 4/m b m'
_symmetry_Int_Tables_number 127
_symmetry_space_group_name_Hall '-P 4 2ab'
_cell_length_a 8.786
_cell_length_b 8.786
_cell_length_c 3.087
_cell_angle_alpha 90.00
_cell_angle_beta 90.00
_cell_angle_gamma 90.00
loop_
_atom_site_label
_atom_site_fract_x
_atom_site_fract_y
_atom_site_fract_z
_atom_site_occupancy
Rb1 0.000 0.000 0.000 1
Li1 0.172 0.328 0.500 1
Zn1 0.107 0.607 0.000 1